MgTi2Zn2 | PBE-GGA | optimized geometry

Lattice parameters (Å, degrees): 3.846 3.846 6.902 73.82 73.82 90.00
Site moments in Bohr magnetons follow the coordinates.
Atoms (fractional coordinates):
Zn  0.750  0.250  0.500  0.02
Ti  0.597  0.597  0.806  0.95
Zn  0.250  0.750  0.500  0.02
Ti  0.403  0.403  0.194  0.95
Mg  0.000  0.000  0.000  0.00

Output
Total DFT energy (no corrections): -3.6332 eV per atom
Calculated volume: 94 Å³/cell
Formation energy: 1.77 eV per formula unit
Symmetry: I4/mmm


HRuN2O | PBE-GGA | optimized geometry

Lattice parameters (Å, degrees): 3.800 3.800 3.868 90.00 90.00 90.00
Site moments in Bohr magnetons follow the coordinates.
Atoms (fractional coordinates):
O  0.000  0.000  0.500  0.04
N  0.000  0.500  0.000  -0.07
H  0.500  0.500  0.500  0.32
N  0.500  0.000  0.000  -0.07
Ru  0.000  0.000  0.000  0.10

Output
Total DFT energy (no corrections): -5.6233 eV per atom
Calculated volume: 56 Å³/cell
Symmetry: P4/mmm


Ca5Cl4 | PBE-GGA | optimized geometry

Lattice parameters (Å, degrees): 10.087 10.087 7.177 90.00 90.00 120.00
Site moments in Bohr magnetons follow the coordinates.
Atoms (fractional coordinates):
Cl  0.000  0.000  0.500  0.01
Ca  0.244  0.244  0.250  0.05
Cl  0.000  0.000  0.000  0.01
Ca  0.756  0.000  0.250  0.05
Ca  0.667  0.333  0.500  0.10
Cl  0.709  0.709  0.250  0.02
Cl  0.709  0.000  0.750  0.02
Cl  0.291  0.291  0.750  0.02
Ca  0.000  0.756  0.250  0.05
Ca  0.000  0.244  0.750  0.05
Ca  0.333  0.667  0.500  0.10
Ca  0.667  0.333  0.000  0.10
Cl  0.000  0.291  0.250  0.02
Cl  0.000  0.709  0.750  0.02
Ca  0.244  0.000  0.750  0.05
Ca  0.756  0.756  0.750  0.05
Cl  0.291  0.000  0.250  0.02
Ca  0.333  0.667  0.000  0.10

Output
Total DFT energy (no corrections): -3.0580 eV per atom
Calculated volume: 632 Å³/cell
Formation energy from raw total energies: -1.13 eV/atom
Symmetry: P6_3/mcm